(1)
! PBE-GGA ScTlZnTe3, relaxed; values from VASP
&SYSTEM
  ibrav = 0, nat = 12, ntyp = 4
/
ATOMIC_SPECIES
Sc 44.96 Sc.upf
Tl 204.38 Tl.upf
Zn 65.41 Zn.upf
Te 127.60 Te.upf
CELL_PARAMETERS angstrom
9.365 0.000 0.000
0.000 4.253 0.000
-3.300 0.000 9.638
ATOMIC_POSITIONS crystal
Sc 0.171 0.250 0.138
Sc 0.829 0.750 0.862
Tl 0.291 0.750 0.771
Tl 0.709 0.250 0.229
Zn 0.418 0.750 0.397
Zn 0.582 0.250 0.603
Te 0.037 0.250 0.839
Te 0.276 0.250 0.461
Te 0.389 0.750 0.129
Te 0.611 0.250 0.871
Te 0.724 0.750 0.539
Te 0.963 0.750 0.161
! Calculated total energy = -47.7 eV for the cell shown
! Energy relative to the elements, uncorrected = -4.45 eV per formula unit

(2)
! PBE-GGA ZrSc2Tl3Te6, relaxed; values from VASP
&SYSTEM
  ibrav = 0, nat = 12, ntyp = 4
/
ATOMIC_SPECIES
Zr 91.22 Zr.upf
Sc 44.96 Sc.upf
Tl 204.38 Tl.upf
Te 127.60 Te.upf
CELL_PARAMETERS angstrom
3.642 -6.307 0.000
3.642 6.307 0.000
-2.428 0.000 8.260
ATOMIC_POSITIONS crystal
Zr 0.000 0.000 0.000
Sc 0.333 0.667 0.000
Sc 0.667 0.333 0.000
Tl 0.167 0.833 0.500
Tl 0.500 0.500 0.500
Tl 0.833 0.167 0.500
Te 0.068 0.401 0.205
Te 0.264 0.264 0.794
Te 0.401 0.068 0.205
Te 0.599 0.932 0.795
Te 0.736 0.736 0.206
Te 0.932 0.599 0.795
! Calculated total energy = -57.0 eV for the cell shown
! Energy relative to the elements, uncorrected = -9.79 eV per formula unit

(3)
! PBE-GGA ZrSc3Tl3Te8, relaxed; values from VASP
&SYSTEM
  ibrav = 0, nat = 15, ntyp = 4
/
ATOMIC_SPECIES
Zr 91.22 Zr.upf
Sc 44.96 Sc.upf
Tl 204.38 Tl.upf
Te 127.60 Te.upf
CELL_PARAMETERS angstrom
4.190 2.419 8.252
-4.190 2.419 8.252
0.000 -4.838 8.252
ATOMIC_POSITIONS crystal
Zr 0.000 0.000 0.000
Sc 0.000 0.500 0.500
Sc 0.500 0.000 0.500
Sc 0.500 0.500 0.000
Tl 0.000 0.000 0.500
Tl 0.000 0.500 0.000
Tl 0.500 0.000 0.000
Te 0.235 0.235 0.735
Te 0.235 0.735 0.235
Te 0.265 0.765 0.765
Te 0.266 0.266 0.266
Te 0.734 0.734 0.734
Te 0.735 0.235 0.235
Te 0.765 0.265 0.765
Te 0.765 0.765 0.265
! Calculated total energy = -73.5 eV for the cell shown
! Energy relative to the elements, uncorrected = -13.70 eV per formula unit